Record 1
This record from Alexandria describes an optimized crystal structure of La5PmDy8. The functional is PBE.

Output
- symmetry = C2/m (12)
- DOS at the Fermi energy (states/eV/atom) = 1.467

a = 3.5696 Å, b = 17.0257 Å, c = 8.9789 Å
α = 62.42°, β = 101.47°, γ = 90.00°
With the nearest neighbours (Å) after each atom.
Element x y z (fractional)
La  0.3559  0.9398  0.7118  6 Dy 3.40-3.76, 6 La 3.57-3.75
La  0.2882  0.6432  0.5765  2 Dy 3.19-3.37, 1 Pm 3.35
La  0.6442  0.0603  0.2885  6 Dy 3.40-3.76, 6 La 3.57-3.75
La  0.0001  0.0000  0.0002  6 Dy 3.43-3.82, 6 La 3.57-3.62
La  0.7116  0.3568  0.4233  2 Dy 3.19-3.37, 1 Pm 3.35
Pm  0.4999  0.5000  0.9999  2 La 3.35, 2 Pm 3.57, 4 Dy 3.68
Dy  0.4196  0.2234  0.8393  8 Dy 3.57-3.74, 5 La 3.60-3.82
Dy  0.7834  0.1464  0.5667  3 La 3.19-3.43
Dy  0.5804  0.7766  0.1608  8 Dy 3.57-3.74, 5 La 3.60-3.82
Dy  0.9241  0.7223  0.8481  7 Dy 3.55-3.74, 4 La 3.71-3.76, 2 Pm 3.81
Dy  0.1457  0.5631  0.2914  3 La 3.37-3.61, 7 Dy 3.55-3.72, 2 Pm 3.68
Dy  0.8542  0.4368  0.7083  3 La 3.37-3.61, 7 Dy 3.55-3.72, 2 Pm 3.68
Dy  0.0759  0.2777  0.1518  7 Dy 3.55-3.74, 4 La 3.71-3.76, 2 Pm 3.81
Dy  0.2168  0.8536  0.4335  3 La 3.19-3.43

Record 2
This record from Alexandria describes an optimized crystal structure of La2PmDy5. The functional is PBE.

Output
- symmetry = C2/c (15)
- DOS at the Fermi energy (states/eV/atom) = 1.533

a = 9.9839 Å, b = 6.6158 Å, c = 10.9267 Å
α = 119.96°, β = 117.18°, γ = 90.00°
With the nearest neighbours (Å) after each atom.
Element x y z (fractional)
Dy  0.7122  0.1345  0.6060  2 Pm 3.50-3.52, 1 La 3.53, 7 Dy 3.65-3.79
Dy  0.0653  0.2500  0.0000  2 La 3.14
Dy  0.5168  0.5513  0.2011  3 La 3.35-3.55, 1 Pm 3.52, 5 Dy 3.65-3.74
Dy  0.8939  0.6345  0.6060  2 Pm 3.50-3.52, 1 La 3.53, 7 Dy 3.65-3.79
Dy  0.1061  0.3655  0.3940  2 Pm 3.50-3.52, 1 La 3.53, 7 Dy 3.65-3.79
Dy  0.9347  0.7500  0.0000  2 La 3.14
Dy  0.4832  0.4487  0.7989  3 La 3.35-3.55, 1 Pm 3.52, 5 Dy 3.65-3.74
Dy  0.2878  0.8655  0.3940  2 Pm 3.50-3.52, 1 La 3.53, 7 Dy 3.65-3.79
Dy  0.6843  0.0513  0.2011  3 La 3.35-3.55, 1 Pm 3.52, 5 Dy 3.65-3.74
Dy  0.3157  0.9487  0.7989  3 La 3.35-3.55, 1 Pm 3.52, 5 Dy 3.65-3.74
Pm  0.5000  0.5000  0.5000  2 La 3.00
Pm  0.0000  0.0000  0.5000  2 La 3.00
La  0.8266  0.5448  0.1548  1 Pm 3.00, 2 Dy 3.14-3.35, 1 La 3.33
La  0.1734  0.4552  0.8452  1 Pm 3.00, 2 Dy 3.14-3.35, 1 La 3.33
La  0.6719  0.9552  0.8452  1 Pm 3.00, 2 Dy 3.14-3.35, 1 La 3.33
La  0.3281  0.0448  0.1548  1 Pm 3.00, 2 Dy 3.14-3.35, 1 La 3.33

Record 3
This record from Alexandria describes an optimized crystal structure of La2Pm5Dy3. The functional is PBE.

Output
- symmetry = C2/c (15)
- DOS at the Fermi energy (states/eV/atom) = 1.720

a = 9.6055 Å, b = 9.6339 Å, c = 11.2332 Å
α = 125.21°, β = 125.15°, γ = 69.79°
With the nearest neighbours (Å) after each atom.
Element x y z (fractional)
Pm  0.5207  0.2707  0.5414  1 Pm 3.16, 2 La 3.34
Pm  0.4793  0.7293  0.4586  1 Pm 3.16, 2 La 3.34
Pm  0.1276  0.3852  0.2344  3 Dy 3.52-3.64, 2 La 3.59-3.77, 3 Pm 3.61-3.73
Pm  0.2818  0.5318  0.0635  1 Pm 3.16, 2 Dy 3.37
Pm  0.6068  0.8491  0.2344  3 Dy 3.52-3.64, 2 La 3.59-3.77, 3 Pm 3.61-3.73
Pm  0.8724  0.6148  0.7656  3 Dy 3.52-3.64, 2 La 3.59-3.77, 3 Pm 3.61-3.73
Pm  0.9791  0.2291  0.4583  5 Dy 3.29-3.56, 2 La 3.52, 2 Pm 3.66
Pm  0.0209  0.7709  0.5417  5 Dy 3.29-3.56, 2 La 3.52, 2 Pm 3.66
Pm  0.7182  0.4682  0.9365  1 Pm 3.16, 2 Dy 3.37
Pm  0.3932  0.1509  0.7656  3 Dy 3.52-3.64, 2 La 3.59-3.77, 3 Pm 3.61-3.73
Dy  0.7731  0.0231  0.0462  3 Pm 3.29-3.59, 4 La 3.36-3.50, 2 Dy 3.48
Dy  0.2665  0.5358  0.7581  1 La 3.19, 4 Pm 3.34-3.56, 1 Dy 3.48
Dy  0.9916  0.2223  0.7581  1 La 3.19, 4 Pm 3.34-3.56, 1 Dy 3.48
Dy  0.2269  0.9769  0.9538  3 Pm 3.29-3.59, 4 La 3.36-3.50, 2 Dy 3.48
Dy  0.7335  0.4642  0.2419  1 La 3.19, 4 Pm 3.34-3.56, 1 Dy 3.48
Dy  0.0084  0.7777  0.2419  1 La 3.19, 4 Pm 3.34-3.56, 1 Dy 3.48
La  0.5327  0.2689  0.2496  3 Dy 3.19-3.50, 3 Pm 3.34-3.56
La  0.4673  0.7311  0.7504  3 Dy 3.19-3.50, 3 Pm 3.34-3.56
La  0.2169  0.9807  0.2496  3 Dy 3.19-3.50, 3 Pm 3.34-3.56
La  0.7831  0.0193  0.7504  3 Dy 3.19-3.50, 3 Pm 3.34-3.56

Record 4
This record from Alexandria describes an optimized crystal structure of La2Pm3Dy7. The functional is PBE.

Output
- symmetry = P2/m (10)
- DOS at the Fermi energy (states/eV/atom) = 1.224

a = 3.6060 Å, b = 5.8784 Å, c = 19.5999 Å
α = 104.25°, β = 90.00°, γ = 90.00°
With the nearest neighbours (Å) after each atom.
Element x y z (fractional)
La  0.5000  0.4157  0.7074  3 Dy 3.22-3.40, 2 La 3.61
La  0.5000  0.5843  0.2926  3 Dy 3.22-3.40, 2 La 3.61
Dy  0.0000  0.5464  0.8591  7 Dy 3.33-3.61, 2 Pm 3.36, 2 La 3.40
Dy  0.0000  0.4536  0.1409  7 Dy 3.33-3.61, 2 Pm 3.36, 2 La 3.40
Dy  0.5000  0.7195  0.4622  1 La 3.22, 4 Dy 3.27-3.61
Dy  0.0000  0.0000  0.0000  4 Dy 3.33-3.61, 4 Pm 3.45
Dy  0.5000  0.0183  0.8296  8 Dy 3.47-3.82, 2 La 3.74-3.76, 1 Pm 3.81
Dy  0.5000  0.9817  0.1704  8 Dy 3.47-3.82, 2 La 3.74-3.76, 1 Pm 3.81
Dy  0.5000  0.2805  0.5378  1 La 3.22, 4 Dy 3.27-3.61
Pm  0.0000  0.8516  0.6296  2 Pm 3.61, 6 Dy 3.66-3.88, 4 La 3.75
Pm  0.5000  0.5000  0.0000  8 Dy 3.36-3.45, 2 Pm 3.61
Pm  0.0000  0.1484  0.3704  2 Pm 3.61, 6 Dy 3.66-3.88, 4 La 3.75

Record 5
This record from Alexandria describes an optimized crystal structure of La8Pm2Dy. The functional is PBE.

Output
- symmetry = C2/m (12)
- DOS at the Fermi energy (states/eV/atom) = 1.655

a = 5.8041 Å, b = 8.3612 Å, c = 9.6830 Å
α = 115.54°, β = 107.44°, γ = 90.00°
With the nearest neighbours (Å) after each atom.
Element x y z (fractional)
La  0.6348  0.4339  0.2697  1 Dy 3.35, 3 La 3.37-3.66, 3 Pm 3.53-3.66
La  0.8407  0.8404  0.6815  8 La 3.58-3.85, 2 Pm 3.69, 2 Dy 3.91
La  0.1593  0.1596  0.3185  8 La 3.58-3.85, 2 Pm 3.69, 2 Dy 3.91
La  0.0001  0.7082  0.0002  7 La 3.48-3.66, 2 Pm 3.76, 2 Dy 3.79
La  0.3651  0.5661  0.7303  1 Dy 3.35, 3 La 3.37-3.66, 3 Pm 3.53-3.66
La  0.9999  0.2918  0.9998  7 La 3.48-3.66, 2 Pm 3.76, 2 Dy 3.79
La  0.3646  0.1630  0.7293  1 Dy 3.35, 3 La 3.37-3.66, 3 Pm 3.54-3.67
La  0.6353  0.8370  0.2707  1 Dy 3.35, 3 La 3.37-3.66, 3 Pm 3.54-3.67
Pm  0.2022  0.7014  0.4043  10 La 3.53-3.76
Pm  0.7978  0.2986  0.5957  10 La 3.53-3.76
Dy  0.5000  0.0000  0.0000  4 La 3.35

Record 6
This record from Alexandria describes an optimized crystal structure of LaPm6Dy12. The functional is PBE.

Output
- symmetry = R-3 (148)
- DOS at the Fermi energy (states/eV/atom) = 1.980

a = 8.5932 Å, b = 8.5932 Å, c = 8.5932 Å
α = 91.22°, β = 91.22°, γ = 91.22°
With the nearest neighbours (Å) after each atom.
Element x y z (fractional)
Dy  0.9300  0.8589  0.6169  4 Dy 3.29-3.49, 1 La 3.52, 4 Pm 3.56-3.65
Dy  0.7922  0.5274  0.4675  6 Dy 3.29-3.68, 3 Pm 3.32-3.52
Dy  0.4675  0.7922  0.5274  6 Dy 3.29-3.68, 3 Pm 3.32-3.52
Dy  0.2078  0.4726  0.5325  6 Dy 3.29-3.68, 3 Pm 3.32-3.52
Dy  0.6169  0.9300  0.8589  4 Dy 3.29-3.49, 1 La 3.52, 4 Pm 3.56-3.65
Dy  0.5274  0.4675  0.7922  6 Dy 3.29-3.68, 3 Pm 3.32-3.52
Dy  0.8589  0.6169  0.9300  4 Dy 3.29-3.49, 1 La 3.52, 4 Pm 3.56-3.65
Dy  0.4726  0.5325  0.2078  6 Dy 3.29-3.68, 3 Pm 3.32-3.52
Dy  0.5325  0.2078  0.4726  6 Dy 3.29-3.68, 3 Pm 3.32-3.52
Dy  0.1411  0.3831  0.0700  4 Dy 3.29-3.49, 1 La 3.52, 4 Pm 3.56-3.65
Dy  0.0700  0.1411  0.3831  4 Dy 3.29-3.49, 1 La 3.52, 4 Pm 3.56-3.65
Dy  0.3831  0.0700  0.1411  4 Dy 3.29-3.49, 1 La 3.52, 4 Pm 3.56-3.65
Pm  0.1404  0.7473  0.2752  7 Dy 3.32-3.65, 1 La 3.46
Pm  0.7248  0.8596  0.2527  7 Dy 3.32-3.65, 1 La 3.46
Pm  0.2527  0.7248  0.8596  7 Dy 3.32-3.65, 1 La 3.46
Pm  0.7473  0.2752  0.1404  7 Dy 3.32-3.65, 1 La 3.46
Pm  0.8596  0.2527  0.7248  7 Dy 3.32-3.65, 1 La 3.46
Pm  0.2752  0.1404  0.7473  7 Dy 3.32-3.65, 1 La 3.46
La  0.0000  0.0000  0.0000  6 Pm 3.46, 6 Dy 3.52

Which V belongs to each record? In order, 471 266 347 403 400 634 Å³/f.u..
Which calculated total energy belongs to each record? In order, -4.67 -4.53 -4.56 -4.60 -4.77 -4.49 eV/atom.
Which energy relative to the elements belongs to each record? In order, 0.055 0.171 0.183 0.090 0.099 0.180 eV/atom.